1.
# Te2AuBr

An optimized crystal structure of Te2AuBr (GGA-PBE, Alexandria).

```
4
Lattice="3.767 0.000 0.000 0.000 3.767 0.000 0.000 0.000 7.686" Properties=species:S:1:pos:R:3 pbc="T T T"
Te 0.000 0.000 1.423
Te 0.000 0.000 6.263
Au 1.883 1.883 0.000
Br 1.883 1.883 3.843
```

Values from the calculation:
Crystal system: tetragonal
Formation energy from raw total energies (eV/f.u.): 0.68


2.
# Te4AuBr

An optimized crystal structure of Te4AuBr (GGA-PBE, Alexandria).

```
6
Lattice="0.000 4.449 4.449 4.449 0.000 4.449 4.449 4.449 0.000" Properties=species:S:1:pos:R:3 pbc="T T T"
Te 1.113 1.113 1.113
Te 3.335 3.335 1.113
Te 3.335 1.113 3.335
Te 1.113 3.335 3.335
Au 6.673 6.673 6.673
Br 4.449 4.449 4.449
```

Values from the calculation:
Crystal system: cubic
Polymorph energy (0 for the lowest one) (eV/f.u.): 3.05
Formation energy from raw total energies (eV/f.u.): 2.79